The following is a DFT calculation (PBE) of CuGeW3 after structural relaxation.

## Properties
* V: 92.2 Å³/cell
* energy relative to the lowest polymorph listed for this composition: 0.000 eV per atom
* crystal system: cubic
* space-group type: Pm-3m
* theoretical density: 12.4 Mg/m³
* raw total energy: -7.612 eV per atom

a b c (Å): 4.5169 4.5169 4.5169
angles (deg): 90.00 90.00 90.00
Last column: nearest neighbours and their distance in Å.
Atoms (fractional coordinates):
Cu 0.0000 0.0000 0.0000  6 W 2.26
Ge 0.5000 0.5000 0.5000  12 W 3.19
W 0.0000 0.0000 0.5000  2 Cu 2.26
W 0.0000 0.5000 0.0000  2 Cu 2.26
W 0.5000 0.0000 0.0000  2 Cu 2.26